{"formula": "RbZr2CrF", "functional": "GGA+U", "state": "optimized geometry", "cell": [[-3.5930, -2.7160, -0.7169], [3.6958, -4.9124, 0.0885], [-0.6119, -0.3792, 4.5035]], "species": ["Zr", "Zr", "F", "Cr", "Rb"], "fractional_positions": [[0.5000, 0.0000, 0.0000], [0.0000, 0.0000, 0.5000], [0.0000, 0.0000, 0.0000], [0.0000, 0.5000, 0.0000], [0.5000, 0.5000, 0.5000]], "space_group": "No. 123", "mass_density_g_cm3": 4.4, "dft_energy_ev_per_atom": -5.25, "magmom_total_mub_per_atom": 0.83}